# Tb3PmSc2Te6 (PBE-GGA, optimized geometry)
# **Space-group type**: C2/m (12)
data_Tb3PmSc2Te6
_symmetry_space_group_name_H-M 'P 1'
_symmetry_Int_Tables_number 1
_symmetry_space_group_name_Hall 'P 1'
_cell_length_a 9.661
_cell_length_b 9.661
_cell_length_c 8.677
_cell_angle_alpha 102.60
_cell_angle_beta 102.60
_cell_angle_gamma 25.76
loop_
_atom_site_label
_atom_site_type_symbol
_atom_site_fract_x
_atom_site_fract_y
_atom_site_fract_z
_atom_site_occupancy
Tb1 Tb 0.000 0.000 0.000 1
Tb2 Tb 0.342 0.342 0.669 1
Tb3 Tb 0.658 0.658 0.331 1
Pm1 Pm 0.000 0.000 0.500 1
Sc1 Sc 0.336 0.336 0.170 1
Sc2 Sc 0.664 0.664 0.830 1
Te1 Te 0.172 0.172 0.076 1
Te2 Te 0.173 0.173 0.597 1
Te3 Te 0.493 0.493 0.241 1
Te4 Te 0.507 0.507 0.759 1
Te5 Te 0.827 0.827 0.403 1
Te6 Te 0.828 0.828 0.924 1

***

# ReTeCl2 (PBE-GGA, optimized geometry)
# **Space-group type**: R-3m (166)
data_ReTeCl2
_symmetry_space_group_name_H-M 'P 1'
_symmetry_Int_Tables_number 1
_symmetry_space_group_name_Hall 'P 1'
_cell_length_a 12.006
_cell_length_b 12.006
_cell_length_c 12.006
_cell_angle_alpha 14.56
_cell_angle_beta 14.56
_cell_angle_gamma 14.56
loop_
_atom_site_label
_atom_site_type_symbol
_atom_site_fract_x
_atom_site_fract_y
_atom_site_fract_z
_atom_site_occupancy
Re1 Re 0.000 0.000 0.000 1
Te1 Te 0.500 0.500 0.500 1
Cl1 Cl 0.062 0.062 0.062 1
Cl2 Cl 0.938 0.938 0.938 1

***

# Ba2TbCeO5 (PBE-GGA, optimized geometry)
# **Space-group type**: Cmc2_1 (36)
data_Ba2TbCeO5
_symmetry_space_group_name_H-M 'P 1'
_symmetry_Int_Tables_number 1
_symmetry_space_group_name_Hall 'P 1'
_cell_length_a 7.746
_cell_length_b 7.746
_cell_length_c 11.863
_cell_angle_alpha 90.00
_cell_angle_beta 90.00
_cell_angle_gamma 152.32
loop_
_atom_site_label
_atom_site_type_symbol
_atom_site_fract_x
_atom_site_fract_y
_atom_site_fract_z
_atom_site_occupancy
Ba1 Ba 0.110 0.890 0.500 1
Ba2 Ba 0.140 0.860 0.081 1
Ba3 Ba 0.860 0.140 0.581 1
Ba4 Ba 0.890 0.110 0.000 1
Tb1 Tb 0.225 0.775 0.813 1
Tb2 Tb 0.775 0.225 0.313 1
Ce1 Ce 0.475 0.525 0.268 1
Ce2 Ce 0.525 0.475 0.768 1
O1 O 0.072 0.928 0.857 1
O2 O 0.275 0.725 0.442 1
O3 O 0.310 0.690 0.196 1
O4 O 0.375 0.625 0.811 1
O5 O 0.495 0.505 0.587 1
O6 O 0.505 0.495 0.087 1
O7 O 0.625 0.375 0.311 1
O8 O 0.690 0.310 0.696 1
O9 O 0.725 0.275 0.942 1
O10 O 0.928 0.072 0.357 1

***

# YSiBi3 (PBE-GGA, optimized geometry)
# **Space-group type**: Pm-3m (221)
data_YSiBi3
_symmetry_space_group_name_H-M 'P 1'
_symmetry_Int_Tables_number 1
_symmetry_space_group_name_Hall 'P 1'
_cell_length_a 5.421
_cell_length_b 5.421
_cell_length_c 5.421
_cell_angle_alpha 90.00
_cell_angle_beta 90.00
_cell_angle_gamma 90.00
loop_
_atom_site_label
_atom_site_type_symbol
_atom_site_fract_x
_atom_site_fract_y
_atom_site_fract_z
_atom_site_occupancy
Y1 Y 0.000 0.000 0.000 1
Si1 Si 0.500 0.500 0.500 1
Bi1 Bi 0.000 0.500 0.500 1
Bi2 Bi 0.500 0.000 0.500 1
Bi3 Bi 0.500 0.500 0.000 1

***

# NaLi2SmSn2 (PBE-GGA, optimized geometry)
# **Formation energy from the elements**: -429 meV/atom
# **Space-group type**: P-3m1 (164)
data_NaLi2SmSn2
_symmetry_space_group_name_H-M 'P 1'
_symmetry_Int_Tables_number 1
_symmetry_space_group_name_Hall 'P 1'
_cell_length_a 4.899
_cell_length_b 4.899
_cell_length_c 7.087
_cell_angle_alpha 90.00
_cell_angle_beta 90.00
_cell_angle_gamma 120.00
loop_
_atom_site_label
_atom_site_type_symbol
_atom_site_fract_x
_atom_site_fract_y
_atom_site_fract_z
_atom_site_occupancy
Na1 Na 0.000 0.000 0.000 1
Li1 Li 0.333 0.667 0.766 1
Li2 Li 0.667 0.333 0.234 1
Sm1 Sm 0.000 0.000 0.500 1
Sn1 Sn 0.333 0.667 0.282 1
Sn2 Sn 0.667 0.333 0.718 1

***

# NdErThCd (PBE-GGA, optimized geometry)
# **Formation energy from the elements**: 34 meV/atom
# **Space-group type**: F-43m (216)
data_NdErThCd
_symmetry_space_group_name_H-M 'P 1'
_symmetry_Int_Tables_number 1
_symmetry_space_group_name_Hall 'P 1'
_cell_length_a 5.528
_cell_length_b 5.528
_cell_length_c 5.528
_cell_angle_alpha 60.00
_cell_angle_beta 60.00
_cell_angle_gamma 60.00
loop_
_atom_site_label
_atom_site_type_symbol
_atom_site_fract_x
_atom_site_fract_y
_atom_site_fract_z
_atom_site_occupancy
Nd1 Nd 0.000 0.000 0.000 1
Er1 Er 0.250 0.250 0.250 1
Th1 Th 0.500 0.500 0.500 1
Cd1 Cd 0.750 0.750 0.750 1

***

Number 1: E -65.1 eV per cell, total moment 0.0 μB/f.u., DOS at the Fermi energy 0.637 states/eV/atom. Number 2: E -18.4 eV per cell, total moment 0.0 μB/f.u., DOS at the Fermi energy 0.713 states/eV/atom. Number 3: E -131.6 eV per cell, total moment 0.9 μB/f.u., DOS at the Fermi energy 0.488 states/eV/atom. Number 4: E -21.9 eV per cell, total moment 0.0 μB/f.u., DOS at the Fermi energy 1.048 states/eV/atom. Number 5: E -20.4 eV per cell, total moment 0.0 μB/f.u., DOS at the Fermi energy 0.483 states/eV/atom. Number 6: E -17.5 eV per cell, total moment 0.0 μB/f.u., DOS at the Fermi energy 1.768 states/eV/atom.